Compound: Tb3Sm5Cd2
Source: Alexandria via LeMat-Bulk
Functional: GGA-PBE
Structure: optimized geometry

Cell: 10.4831 10.4831 10.4831 Å, 101.45 90.27 142.82°
Positions (direct):
Tb 0.2198 0.1369 0.3567
Tb 0.2500 0.2500 0.0000
Tb 0.2802 0.6369 0.9172
Tb 0.7198 0.3631 0.0828
Tb 0.7500 0.7500 0.0000
Tb 0.7802 0.8631 0.6433
Sm 0.1715 0.3995 0.5710
Sm 0.2500 0.5071 0.2571
Sm 0.2500 0.7500 0.5000
Sm 0.2500 0.9929 0.7429
Sm 0.3285 0.8995 0.2279
Sm 0.6715 0.1005 0.7721
Sm 0.7500 0.0071 0.2571
Sm 0.7500 0.2500 0.5000
Sm 0.7500 0.4929 0.7429
Sm 0.8285 0.6005 0.4290
Cd 0.1358 0.8718 0.0076
Cd 0.3641 0.3718 0.7359
Cd 0.6358 0.6282 0.2641
Cd 0.8642 0.1282 0.9924

Results
symmetry: Ibam
total energy: -75.10 eV/cell
calculated formation energy: 0.18 eV/atom

---

Compound: RbPtBr2
Source: Alexandria via LeMat-Bulk
Functional: GGA-PBE
Structure: optimized geometry

Cell: 9.1427 9.1427 9.1427 Å, 27.42 27.42 27.42°
Positions (direct):
Rb 0.0000 0.0000 0.0000
Pt 0.5000 0.5000 0.5000
Br 0.1219 0.1219 0.1219
Br 0.8781 0.8781 0.8781

Results
symmetry: R-3m
total energy: -10.83 eV/cell
E_form (uncorrected): -0.120 eV/atom
excess energy over the best structure of this formula in the dataset: 376 meV per atom

---

Compound: TaMn2Pb
Source: Alexandria via LeMat-Bulk
Functional: GGA-PBE
Structure: optimized geometry

Cell: 4.5987 4.5987 4.5987 Å, 60.00 60.00 60.00°
Positions (direct):
Ta 0.0000 0.0000 0.0000
Mn 0.5000 0.5000 0.5000
Mn 0.7500 0.7500 0.7500
Pb 0.2500 0.2500 0.2500

Results
symmetry: F-43m
total energy: -31.72 eV/cell
calculated formation energy: 0.54 eV/atom

---

Compound: Ba4TcRu
Source: Alexandria via LeMat-Bulk
Functional: GGA-PBE
Structure: optimized geometry

Cell: 6.7924 6.7924 6.7924 Å, 60.00 60.00 60.00°
Positions (direct):
Ba 0.1248 0.1248 0.1248
Ba 0.1248 0.1248 0.6255
Ba 0.1248 0.6255 0.1248
Ba 0.6255 0.1248 0.1248
Tc 0.5000 0.5000 0.5000
Ru 0.7500 0.7500 0.7500

Results
symmetry: F-43m
total energy: -17.85 eV/cell
calculated formation energy: 1.58 eV/atom

---

Compound: ScMnFePb2
Source: Alexandria via LeMat-Bulk
Functional: GGA-PBE
Structure: optimized geometry

Cell: 5.0755 5.0755 4.5926 Å, 90.00 90.00 90.00°
Positions (direct):
Sc 0.0000 0.0000 0.0000
Mn 0.5000 0.5000 0.0000
Fe 0.0000 0.0000 0.5000
Pb 0.0000 0.5000 0.5000
Pb 0.5000 0.0000 0.5000

Results
symmetry: P4/mmm
total energy: -29.01 eV/cell
calculated formation energy: 0.47 eV/atom

---

Compound: PuTe3
Source: Alexandria via LeMat-Bulk
Functional: GGA-PBE
Structure: optimized geometry

Cell: 4.3028 6.0757 4.5993 Å, 90.00 90.00 90.00°
Positions (direct):
Pu 0.0000 0.0000 0.0000
Te 0.0000 0.5000 0.6531
Te 0.5000 0.0000 0.5162
Te 0.5000 0.5000 0.1361

Results
symmetry: Pmm2
total energy: -25.62 eV/cell
E_form (uncorrected): -0.466 eV/atom

---

Number 1: size of the total moment 0.000 μB/atom. Number 2: size of the total moment 0.001 μB/atom. Number 3: size of the total moment 1.291 μB/atom. Number 4: size of the total moment 0.608 μB/atom. Number 5: size of the total moment 0.813 μB/atom. Number 6: size of the total moment 1.259 μB/atom.